Record 1
Entry from Alexandria: a relaxed Y2FeSnGe crystal (GGA-PBE).

abc: 5.6764 5.6764 4.9146
angles: 90.00 90.00 90.00
With the nearest neighbours (Å) after each atom.
Space group P4/mmm (No. 123)
Unique sites:
Y: 0.0000 0.5000 0.0000  2 Sn 2.84
Fe: 0.0000 0.0000 0.5000  8 Y 3.75, 4 Ge 4.01
Sn: 0.5000 0.5000 0.0000  2 Ge 2.46
Ge: 0.5000 0.5000 0.5000  2 Sn 2.46

Values from the calculation:
Crystal system   tetragonal
DOS(E_F)   1.2286 states/eV per atom
Calculated total energy   -5.113 eV per atom

---

Record 2
Entry from Alexandria: a relaxed RbAsSeN2 crystal (GGA-PBE).

abc: 4.3733 4.3733 5.2083
angles: 90.00 90.00 90.00
With the nearest neighbours (Å) after each atom.
Space group P4/mmm (No. 123)
Unique sites:
Rb: 0.0000 0.0000 0.0000  4 Se 3.09, 8 N 3.40
As: 0.5000 0.5000 0.5000  4 N 2.19
Se: 0.5000 0.5000 0.0000  2 As 2.60
N: 0.0000 0.5000 0.5000  2 As 2.19

Values from the calculation:
Formation energy without anion corrections   25.17 kcal/mol of atoms
Relative energy among the computed polymorphs   0.000 eV/atom
Crystal system   tetragonal
DOS(E_F)   0.5535 states/eV per atom

---

Record 3
Entry from Alexandria: a relaxed ZrTlCl2 crystal (GGA-PBE).

abc: 3.6520 3.6520 7.2176
angles: 90.00 90.00 90.00
With the nearest neighbours (Å) after each atom.
Space group P4mm (No. 99)
Unique sites:
Zr: 0.0000 0.0000 0.0000  5 Cl 2.50-2.67
Tl: 0.5000 0.5000 0.6684  1 Cl 3.08
Cl: 0.0000 0.0000 0.3464  1 Zr 2.50
Cl: 0.5000 0.5000 0.0946  4 Zr 2.67

Values from the calculation:
Formation energy without anion corrections   -17.53 kcal/mol of atoms
Relative energy among the computed polymorphs   0.317 eV/atom
Crystal system   tetragonal
DOS(E_F)   0.5518 states/eV per atom

---

Record 4
Entry from Alexandria: a relaxed Be2ReSb crystal (GGA-PBE).

abc: 3.7957 3.7957 7.6031
angles: 90.00 90.00 90.00
With the nearest neighbours (Å) after each atom.
Space group I4/mmm (No. 139)
Unique sites:
Be: 0.0000 0.5000 0.2500  4 Be 2.68, 4 Re 2.69, 4 Sb 2.69
Re: 0.0000 0.0000 0.0000  4 Sb 2.68, 8 Be 2.69
Sb: 0.0000 0.0000 0.5000  4 Re 2.68, 8 Be 2.69

Values from the calculation:
Formation energy without anion corrections   11.25 kcal/mol of atoms
Crystal system   tetragonal
DOS(E_F)   0.3490 states/eV per atom

---

Record 5
Entry from Alexandria: a relaxed YRuPt2 crystal (GGA-PBE).

abc: 3.4672 3.4672 6.0444
angles: 90.00 90.00 90.00
With the nearest neighbours (Å) after each atom.
Space group P4mm (No. 99)
Unique sites:
Y: 0.0000 0.0000 0.0000  6 Pt 2.91-3.13, 4 Ru 3.05
Ru: 0.5000 0.5000 0.6992  5 Pt 2.66-2.69
Pt: 0.0000 0.0000 0.5174  4 Ru 2.69, 4 Pt 2.91, 1 Y 2.92
Pt: 0.5000 0.5000 0.2588  1 Ru 2.66, 4 Pt 2.91, 4 Y 2.91

Values from the calculation:
Crystal system   tetragonal
DOS(E_F)   1.4295 states/eV per atom
Calculated total energy   -7.285 eV per atom

---

Record 6
Entry from Alexandria: a relaxed AcMgAl2Ag crystal (GGA-PBE).

abc: 4.4987 4.6115 11.4843
angles: 90.00 90.00 90.00
With the nearest neighbours (Å) after each atom.
Space group Imm2 (No. 44)
Unique sites:
Ac: 0.0000 0.0000 0.0000  8 Al 3.44-3.70, 4 Ag 3.52, 4 Mg 3.59-3.73
Mg: 0.0000 0.5000 0.7442  2 Ag 2.71, 2 Al 2.81
Al: 0.0000 0.0000 0.6046  1 Ag 2.63, 2 Al 2.76, 2 Mg 2.81
Al: 0.0000 0.5000 0.2446  2 Ag 2.76, 2 Al 2.76
Ag: 0.0000 0.0000 0.3759  3 Al 2.63-2.76, 2 Mg 2.71

Values from the calculation:
Crystal system   orthorhombic
DOS(E_F)   0.6346 states/eV per atom
Calculated total energy   -3.528 eV per atom

---

Record 7
Entry from Alexandria: a relaxed Zr3AgW crystal (GGA-PBE).

abc: 5.0196 5.0196 5.0196
angles: 90.00 90.00 90.00
With the nearest neighbours (Å) after each atom.
Space group Pm-3m (No. 221)
Unique sites:
Zr: 0.0000 0.0000 0.5000  2 Ag 2.51
Ag: 0.0000 0.0000 0.0000  6 Zr 2.51
W: 0.5000 0.5000 0.5000  12 Zr 3.55

Values from the calculation:
Relative energy among the computed polymorphs   0.687 eV/atom
Crystal system   cubic
DOS(E_F)   1.6733 states/eV per atom

---

Record 8
Entry from Alexandria: a relaxed PmPr4Y3Te8 crystal (GGA-PBE).

abc: 8.8612 8.8612 22.1858
angles: 90.00 90.00 120.00
With the nearest neighbours (Å) after each atom.
Space group R-3m (No. 166, hexagonal axes)
Unique sites:
Pm: 0.0000 0.0000 0.0000  6 Te 3.13
Pr: 0.0000 0.0000 0.5000  6 Te 3.18
Pr: 0.0000 0.5000 0.5000  6 Te 3.22
Y: 0.0000 0.5000 0.0000  6 Te 3.09-3.10
Te: 0.0000 0.0000 0.2548  3 Y 3.10, 3 Pr 3.22
Te: 0.0042 0.5021 0.2538  2 Y 3.09, 1 Pm 3.13, 3 Pr 3.18-3.22

Values from the calculation:
Formation energy without anion corrections   -31.97 kcal/mol of atoms
Crystal system   trigonal
DOS(E_F)   0.7360 states/eV per atom

---

Record 9
Entry from Alexandria: a relaxed NaCd2BW crystal (GGA-PBE).

abc: 5.4131 5.4131 4.1665
angles: 90.00 90.00 90.00
With the nearest neighbours (Å) after each atom.
Space group P4/mmm (No. 123)
Unique sites:
Na: 0.0000 0.0000 0.0000  8 Cd 3.42
Cd: 0.0000 0.5000 0.5000  2 W 2.71
B: 0.5000 0.5000 0.0000  2 W 2.08
W: 0.5000 0.5000 0.5000  2 B 2.08

Values from the calculation:
Crystal system   tetragonal
DOS(E_F)   0.7259 states/eV per atom
Calculated total energy   -3.676 eV per atom

---

Record 10
Entry from Alexandria: a relaxed Li2Pd2F crystal (GGA-PBE).

abc: 4.9898 4.9898 6.8565
angles: 90.00 90.00 90.00
With the nearest neighbours (Å) after each atom.
Space group I4/mmm (No. 139)
Unique sites:
Li: 0.0000 0.5000 0.2500  4 Pd 2.53
Pd: 0.0000 0.0000 0.1846  1 F 2.16
F: 0.0000 0.0000 0.5000  2 Pd 2.16

Values from the calculation:
Formation energy without anion corrections   -8.62 kcal/mol of atoms
Relative energy among the computed polymorphs   0.117 eV/atom
Crystal system   tetragonal
DOS(E_F)   1.3437 states/eV per atom

---

Record 11
Entry from Alexandria: a relaxed Pr5Ge3 crystal (GGA-PBE).

abc: 8.9225 8.9225 6.7947
angles: 90.00 90.00 120.00
With the nearest neighbours (Å) after each atom.
Space group P6_3/mcm (No. 193)
Unique sites:
Pr: 0.0000 0.2465 0.2500  3 Ge 3.06-3.22
Pr: 0.3333 0.6667 0.0000  6 Ge 3.23, 2 Pr 3.40
Ge: 0.0000 0.3922 0.7500  7 Pr 3.06-3.23

Values from the calculation:
Relative energy among the computed polymorphs   0.000 eV/atom
Crystal system   hexagonal
DOS(E_F)   0.9796 states/eV per atom

---

Record 12
Entry from Alexandria: a relaxed LiNpSnBr6 crystal (GGA-PBE).

abc: 7.1942 7.1942 13.1757
angles: 90.00 90.00 120.00
With the nearest neighbours (Å) after each atom.
Space group P-31c (No. 163)
Unique sites:
Li: 0.3333 0.6667 0.2500  6 Br 2.79
Np: 0.3333 0.6667 0.7500  6 Br 2.89
Sn: 0.0000 0.0000 0.0000  6 Br 3.03
Br: 0.0115 0.3535 0.1290  1 Li 2.79, 1 Np 2.89, 1 Sn 3.03

Values from the calculation:
Formation energy without anion corrections   -26.55 kcal/mol of atoms
Crystal system   trigonal
DOS(E_F)   0.9141 states/eV per atom